A relaxed CsLuB crystal. Source: OQMD, functional PBE.

Output
Relative energy among the computed polymorphs (meV per atom): 472.0
Magnetic moment (μB per cell): 0.0

Cell lengths 4.8364, 4.8364, 4.8364 Å; angles 60.00, 60.00, 60.00 degrees
Element x y z (fractional)
B  0.2500  0.2500  0.2500
Cs  0.0000  0.0000  0.0000
Lu  0.7500  0.7500  0.7500

A relaxed TaAgIr crystal. Source: OQMD, functional PBE.

Output
Relative energy among the computed polymorphs (meV per atom): 0.0
Magnetic moment (μB per cell): 0.0
E_form (meV/atom): 271.1

Cell lengths 4.3598, 4.3598, 4.3598 Å; angles 60.00, 60.00, 60.00 degrees
Element x y z (fractional)
Ir  0.0000  0.0000  0.0000
Ag  0.2500  0.2500  0.2500
Ta  0.7500  0.7500  0.7500

A relaxed PrHoAl crystal. Source: OQMD, functional PBE.

Output
Relative energy among the computed polymorphs (meV per atom): 0.0
Magnetic moment (μB per cell): 0.8

Cell lengths 5.0824, 5.0824, 5.0824 Å; angles 60.00, 60.00, 60.00 degrees
Each line ends with the local moment (μB).
Element x y z (fractional)
Ho  0.0000  0.0000  0.0000  0.35
Al  0.2500  0.2500  0.2500  0.00
Pr  0.7500  0.7500  0.7500  0.21

A relaxed BeCuNiGe crystal. Source: OQMD, functional PBE.

Output
Relative energy among the computed polymorphs (meV per atom): 0.0
Magnetic moment (μB per cell): 0.0

Cell lengths 3.9988, 3.9988, 3.9988 Å; angles 60.00, 60.00, 60.00 degrees
Element x y z (fractional)
Ge  0.2500  0.2500  0.2500
Be  0.7500  0.7500  0.7500
Ni  0.5000  0.5000  0.5000
Cu  0.0000  0.0000  0.0000

A relaxed TcB2 crystal. Source: OQMD, functional PBE.

Output
Relative energy among the computed polymorphs (meV per atom): 2120.2
Magnetic moment (μB per cell): 0.0

Cell lengths 6.4698, 6.4698, 6.4698 Å; angles 60.00, 60.00, 60.00 degrees
Element x y z (fractional)
B  0.8750  0.3750  0.3750
B  0.3750  0.3750  0.3750
B  0.3750  0.8750  0.3750
B  0.3750  0.3750  0.8750
Tc  0.5000  0.5000  0.5000
Tc  0.2500  0.2500  0.2500

A relaxed NaNbRe crystal. Source: OQMD, functional PBE.

Output
Relative energy among the computed polymorphs (meV per atom): 0.0
Magnetic moment (μB per cell): 0.0

Cell lengths 4.4252, 4.4252, 4.4252 Å; angles 60.00, 60.00, 60.00 degrees
Element x y z (fractional)
Re  0.0000  0.0000  0.0000
Nb  0.7500  0.7500  0.7500
Na  0.2500  0.2500  0.2500

A relaxed Ta5Re7 crystal. Source: OQMD, functional PBE.

Output
Relative energy among the computed polymorphs (meV per atom): 32.2
Magnetic moment (μB per cell): 0.0
E_form (meV/atom): 183.3

Cell lengths 5.2455, 5.2455, 16.8283 Å; angles 90.00, 90.00, 120.00 degrees
Element x y z (fractional)
Ta  0.0000  0.0000  0.9109
Ta  0.3282  0.1641  0.7500
Ta  0.0000  0.0000  0.5891
Ta  0.0000  0.0000  0.0891
Ta  0.6718  0.8359  0.2500
Ta  0.1641  0.8359  0.2500
Ta  0.1641  0.3282  0.2500
Ta  0.0000  0.0000  0.4109
Ta  0.8359  0.6718  0.7500
Ta  0.8359  0.1641  0.7500
Re  0.6667  0.3333  0.6221
Re  0.3333  0.6667  0.6527
Re  0.0000  0.5000  0.5000
Re  0.5000  0.0000  0.5000
Re  0.3333  0.6667  0.3779
Re  0.6667  0.3333  0.1527
Re  0.5000  0.0000  0.0000
Re  0.0000  0.5000  0.0000
Re  0.5000  0.5000  0.0000
Re  0.6667  0.3333  0.3473
Re  0.6667  0.3333  0.8779
Re  0.3333  0.6667  0.1221
Re  0.3333  0.6667  0.8473
Re  0.5000  0.5000  0.5000

A relaxed ThUAu crystal. Source: OQMD, functional PBE.

Output
Relative energy among the computed polymorphs (meV per atom): 0.0
Magnetic moment (μB per cell): 3.5
E_form (meV/atom): 338.5

Cell lengths 5.0233, 5.0233, 5.0233 Å; angles 60.00, 60.00, 60.00 degrees
Each line ends with the local moment (μB).
Element x y z (fractional)
Au  0.0000  0.0000  0.0000  0.01
U  0.7500  0.7500  0.7500  2.62
Th  0.2500  0.2500  0.2500  0.32

A relaxed PaCl crystal. Source: OQMD, functional PBE.

Output
Calculated total energy (eV/atom): -6.43
Magnetic moment (μB per cell): 0.0

Cell lengths 3.3359, 3.3359, 8.7400 Å; angles 90.00, 90.00, 120.00 degrees
Element x y z (fractional)
Pa  0.0000  0.0000  0.5000
Pa  0.0000  0.0000  0.0000
Cl  0.3333  0.6667  0.7500
Cl  0.6667  0.3333  0.2500

A relaxed BaPmO3 crystal. Source: OQMD, functional PBE.

Output
Calculated total energy (eV/atom): -6.56
Magnetic moment (μB per cell): 1.0

Cell lengths 3.9320, 3.9320, 6.2549 Å; angles 90.00, 90.00, 90.00 degrees
Each line ends with the local moment (μB).
Element x y z (fractional)
O  0.0000  0.5000  0.7180  0.22
O  0.5000  0.0000  0.7180  0.11
O  0.5000  0.5000  0.0824  0.48
Ba  0.5000  0.5000  0.4777  0.06
Pm  0.0000  0.0000  0.9040  -0.02

A relaxed LuB2C crystal. Source: OQMD, functional PBE.

Output
Calculated total energy (eV/atom): -7.34
Magnetic moment (μB per cell): 0.0

Cell lengths 6.6703, 6.7858, 3.5847 Å; angles 90.00, 90.00, 90.00 degrees
Element x y z (fractional)
B  0.6530  0.0329  0.0000
B  0.1530  0.4671  0.0000
B  0.0964  0.9069  0.0000
B  0.3470  0.9671  0.0000
B  0.9036  0.0931  0.0000
B  0.5964  0.5931  0.0000
B  0.4036  0.4069  0.0000
B  0.8470  0.5329  0.0000
C  0.4590  0.1782  0.0000
C  0.0410  0.6782  0.0000
C  0.5410  0.8218  0.0000
C  0.9590  0.3218  0.0000
Lu  0.3116  0.6925  0.5000
Lu  0.6884  0.3075  0.5000
Lu  0.1884  0.1925  0.5000
Lu  0.8116  0.8075  0.5000

A relaxed NdReB4 crystal. Source: OQMD, functional PBE.

Output
Relative energy among the computed polymorphs (meV per atom): 0.0
Magnetic moment (μB per cell): 0.0

Cell lengths 3.1495, 3.1495, 7.3730 Å; angles 90.00, 90.00, 120.00 degrees
Element x y z (fractional)
B  0.6667  0.3333  0.7865
B  0.3333  0.6667  0.7865
B  0.3333  0.6667  0.2135
B  0.6667  0.3333  0.2135
Nd  0.0000  0.0000  0.5000
Re  0.0000  0.0000  0.0000